Computed, not measured: a geometry-optimized RuW structure at the PBE level of DFT.

Cell: 2.915 13.357 4.690 Å, 90.00 90.00 90.00°
Fractional positions:
W 0.000 0.340 0.860
Ru 0.500 0.825 0.868
Ru 0.500 0.325 0.368
W 0.000 0.840 0.360
W 0.000 0.160 0.360
W 0.500 0.000 0.529
Ru 0.500 0.175 0.868
W 0.000 0.660 0.860
Ru 0.000 0.000 0.017
Ru 0.000 0.500 0.517
W 0.500 0.500 0.029
Ru 0.500 0.675 0.368

Crystal system: orthorhombic
ΔH_f (0 K) in eV per atom: 0.136

***

Computed, not measured: a geometry-optimized Ru3W2 structure at the PBE level of DFT.

Cell: 11.409 11.409 11.409 Å, 13.90 13.90 13.90°
Fractional positions:
W 0.401 0.401 0.401
Ru 0.200 0.200 0.200
W 0.599 0.599 0.599
Ru 0.800 0.800 0.800
Ru 0.000 0.000 0.000

Crystal system: trigonal
ΔH_f (0 K) in eV per atom: 0.159
Energy above the lowest structure with this stoichiometry in meV per atom: 129

***

Computed, not measured: a geometry-optimized RuW2 structure at the PBE level of DFT.

Cell: 4.472 4.472 5.417 Å, 90.00 90.00 120.00°
Fractional positions:
W 0.000 0.000 0.500
W 0.667 0.333 0.250
Ru 0.333 0.667 0.250
W 0.333 0.667 0.750
Ru 0.667 0.333 0.750
W 0.000 0.000 0.000

Crystal system: hexagonal
ΔH_f (0 K) in eV per atom: 0.279
Energy above the lowest structure with this stoichiometry in meV per atom: 248

***

Computed, not measured: a geometry-optimized Ru3W structure at the PBE level of DFT.

Cell: 2.742 9.083 2.742 Å, 98.68 60.00 98.68°
Fractional positions:
Ru 0.502 0.505 0.502
Ru 0.998 0.995 0.998
W 0.750 0.250 0.750
Ru 0.250 0.750 0.250

Crystal system: trigonal
ΔH_f (0 K) in eV per atom: 0.142

***

Computed, not measured: a geometry-optimized Ru3W structure at the PBE level of DFT.

Cell: 2.747 2.747 7.691 Å, 90.00 90.00 90.00°
Fractional positions:
Ru 0.500 0.500 0.750
W 0.500 0.500 0.250
Ru 0.000 0.000 0.993
Ru 0.000 0.000 0.507

Crystal system: tetragonal
ΔH_f (0 K) in eV per atom: 0.088

***

Computed, not measured: a geometry-optimized RuW structure at the PBE level of DFT.

Cell: 2.785 9.224 2.785 Å, 98.68 60.00 98.68°
Fractional positions:
W 0.746 0.239 0.746
Ru 0.250 0.749 0.250
Ru 0.000 0.001 0.000
W 0.504 0.511 0.504

Crystal system: trigonal
ΔH_f (0 K) in eV per atom: 0.197

***

Computed, not measured: a geometry-optimized RuW structure at the PBE level of DFT.

Cell: 4.387 4.387 7.732 Å, 90.00 90.00 120.00°
Fractional positions:
W 0.667 0.333 0.923
W 0.667 0.333 0.577
W 0.333 0.667 0.077
W 0.333 0.667 0.423
Ru 0.667 0.333 0.250
Ru 0.000 0.000 0.750
Ru 0.000 0.000 0.250
Ru 0.333 0.667 0.750

Crystal system: hexagonal
ΔH_f (0 K) in eV per atom: 0.500

***

Computed, not measured: a geometry-optimized RuW structure at the PBE level of DFT.

Cell: 7.323 7.717 9.335 Å, 90.00 90.00 90.00°
Fractional positions:
Ru 0.578 0.750 0.750
Ru 0.922 0.750 0.750
W 0.500 0.671 0.500
Ru 0.328 0.500 0.000
W 0.000 0.171 0.500
Ru 0.172 0.500 0.500
W 0.250 0.921 0.750
Ru 0.422 0.250 0.750
Ru 0.828 0.000 0.000
Ru 0.078 0.750 0.250
W 0.250 0.579 0.750
W 0.250 0.421 0.250
W 0.750 0.079 0.750
Ru 0.828 0.500 0.500
Ru 0.422 0.750 0.250
Ru 0.672 0.000 0.500
W 0.500 0.171 0.000
Ru 0.078 0.250 0.750
Ru 0.172 0.000 0.000
W 0.500 0.829 0.000
W 0.250 0.079 0.250
W 0.000 0.329 0.000
W 0.000 0.829 0.500
W 0.000 0.671 0.000
Ru 0.578 0.250 0.250
Ru 0.672 0.500 0.000
W 0.750 0.921 0.250
W 0.750 0.421 0.750
W 0.500 0.329 0.500
W 0.750 0.579 0.250
Ru 0.328 0.000 0.500
Ru 0.922 0.250 0.250

Crystal system: orthorhombic
ΔH_f (0 K) in eV per atom: 0.770

***

Size of the total moment / μB/atom: 0.000, 0.000, 0.000, 0.000, 0.000, 0.000, 0.000, 0.000
DFT total energy / eV per atom: -10.978, -10.588, -11.448, -10.053, -10.107, -10.918, -10.614, -10.345